{"formula": "YNi2Ge2", "functional": "PBE-GGA", "state": "optimized geometry", "lattice": [[4.066, 0.000, 0.000], [0.000, 4.066, 0.000], [0.000, 0.000, 9.862]], "species": ["Y", "Y", "Ni", "Ni", "Ni", "Ni", "Ge", "Ge", "Ge", "Ge"], "fractional_positions": [[0.000, 0.000, 0.000], [0.500, 0.500, 0.500], [0.000, 0.500, 0.250], [0.000, 0.500, 0.750], [0.500, 0.000, 0.250], [0.500, 0.000, 0.750], [0.000, 0.000, 0.372], [0.000, 0.000, 0.628], [0.500, 0.500, 0.128], [0.500, 0.500, 0.872]], "e_tot_ev_per_fu": -30.4, "space_group": "No. 139"}